# Pr2CuAu3

An optimized crystal structure of Pr2CuAu3 (PBE, Alexandria via LeMat-Bulk).

Results
space-group type = Pmm2 (25)
E_form = -0.65 eV/atom

a b c (Å): 3.724 4.674 8.034
angles (deg): 90.00 90.00 90.00
Fractional positions:
Pr  0.000  0.000  0.000
Pr  0.000  0.500  0.496
Cu  0.500  0.000  0.322
Au  0.500  0.000  0.645
Au  0.500  0.500  0.181
Au  0.500  0.500  0.835


# PrCu5Au7

An optimized crystal structure of PrCu5Au7 (PBE, Alexandria via LeMat-Bulk).

Results
space-group type = Imm2 (44)
E_form = -0.24 eV/atom

a b c (Å): 6.990 6.990 6.990
angles (deg): 135.70 98.33 98.01
Fractional positions:
Pr  0.000  0.000  0.000
Cu  0.009  0.003  0.504
Cu  0.009  0.505  0.006
Cu  0.235  0.735  0.500
Cu  0.499  0.003  0.994
Cu  0.499  0.505  0.496
Au  0.215  0.509  0.706
Au  0.337  0.337  0.000
Au  0.342  0.999  0.343
Au  0.657  0.657  0.000
Au  0.657  0.999  0.657
Au  0.778  0.278  0.500
Au  0.803  0.509  0.294


# Pr3Cu5Au12

An optimized crystal structure of Pr3Cu5Au12 (PBE, Alexandria via LeMat-Bulk).

Results
space-group type = Ia-3d (230)
E_form = 0.02 eV/atom

a b c (Å): 13.726 13.726 13.726
angles (deg): 109.47 109.47 109.47
Fractional positions:
Pr  0.125  0.250  0.375
Pr  0.125  0.375  0.750
Pr  0.250  0.375  0.125
Pr  0.250  0.875  0.625
Pr  0.375  0.125  0.250
Pr  0.375  0.750  0.125
Pr  0.625  0.250  0.875
Pr  0.625  0.875  0.750
Pr  0.750  0.125  0.375
Pr  0.750  0.625  0.875
Pr  0.875  0.625  0.250
Pr  0.875  0.750  0.625
Cu  0.000  0.000  0.000
Cu  0.000  0.000  0.500
Cu  0.000  0.500  0.000
Cu  0.000  0.500  0.500
Cu  0.125  0.750  0.875
Cu  0.125  0.875  0.250
Cu  0.250  0.125  0.875
Cu  0.250  0.625  0.375
Cu  0.375  0.250  0.625
Cu  0.375  0.625  0.750
Cu  0.500  0.000  0.000
Cu  0.500  0.000  0.500
Cu  0.500  0.500  0.000
Cu  0.500  0.500  0.500
Cu  0.625  0.375  0.250
Cu  0.625  0.750  0.375
Cu  0.750  0.375  0.625
Cu  0.750  0.875  0.125
Cu  0.875  0.125  0.750
Cu  0.875  0.250  0.125
Au  0.036  0.207  0.118
Au  0.036  0.330  0.918
Au  0.082  0.618  0.411
Au  0.082  0.964  0.670
Au  0.089  0.707  0.670
Au  0.089  0.882  0.418
Au  0.118  0.036  0.207
Au  0.118  0.582  0.911
Au  0.170  0.207  0.589
Au  0.170  0.464  0.582
Au  0.207  0.118  0.036
Au  0.207  0.589  0.170
Au  0.293  0.330  0.911
Au  0.293  0.464  0.382
Au  0.330  0.911  0.293
Au  0.330  0.918  0.036
Au  0.382  0.293  0.464
Au  0.382  0.589  0.918
Au  0.411  0.082  0.618
Au  0.411  0.830  0.793
Au  0.418  0.089  0.882
Au  0.418  0.830  0.536
Au  0.464  0.382  0.293
Au  0.464  0.582  0.170
Au  0.536  0.418  0.830
Au  0.536  0.618  0.707
Au  0.582  0.170  0.464
Au  0.582  0.911  0.118
Au  0.589  0.170  0.207
Au  0.589  0.918  0.382
Au  0.618  0.411  0.082
Au  0.618  0.707  0.536
Au  0.670  0.082  0.964
Au  0.670  0.089  0.707
Au  0.707  0.536  0.618
Au  0.707  0.670  0.089
Au  0.793  0.411  0.830
Au  0.793  0.882  0.964
Au  0.830  0.536  0.418
Au  0.830  0.793  0.411
Au  0.882  0.418  0.089
Au  0.882  0.964  0.793
Au  0.911  0.118  0.582
Au  0.911  0.293  0.330
Au  0.918  0.036  0.330
Au  0.918  0.382  0.589
Au  0.964  0.670  0.082
Au  0.964  0.793  0.882


# Pr2Cu2Au3

An optimized crystal structure of Pr2Cu2Au3 (PBE, Alexandria via LeMat-Bulk).

Results
space-group type = Cmcm (63)
E_form = -0.51 eV/atom

a b c (Å): 9.897 9.897 7.665
angles (deg): 90.00 90.00 156.04
Fractional positions:
Pr  0.058  0.942  0.750
Pr  0.164  0.836  0.250
Pr  0.836  0.164  0.750
Pr  0.942  0.058  0.250
Cu  0.301  0.699  0.041
Cu  0.301  0.699  0.459
Cu  0.699  0.301  0.541
Cu  0.699  0.301  0.959
Au  0.216  0.784  0.750
Au  0.433  0.567  0.562
Au  0.433  0.567  0.938
Au  0.567  0.433  0.062
Au  0.567  0.433  0.438
Au  0.784  0.216  0.250


Copy entry 4 word for word.
# Pr2Cu2Au3

An optimized crystal structure of Pr2Cu2Au3 (PBE, Alexandria via LeMat-Bulk).

Results
space-group type = Cmcm (63)
E_form = -0.51 eV/atom

a b c (Å): 9.897 9.897 7.665
angles (deg): 90.00 90.00 156.04
Fractional positions:
Pr  0.058  0.942  0.750
Pr  0.164  0.836  0.250
Pr  0.836  0.164  0.750
Pr  0.942  0.058  0.250
Cu  0.301  0.699  0.041
Cu  0.301  0.699  0.459
Cu  0.699  0.301  0.541
Cu  0.699  0.301  0.959
Au  0.216  0.784  0.750
Au  0.433  0.567  0.562
Au  0.433  0.567  0.938
Au  0.567  0.433  0.062
Au  0.567  0.433  0.438
Au  0.784  0.216  0.250


> E_form of number 2 (PrCu5Au7)?

-0.24 eV/atom


> Which of these has the highest E_form?

Pr3Cu5Au12